Record 1
Computed, not measured: a relaxed MgSe2 crystal at the GGA-PBEsol level of DFT.

abc: 6.4286 6.4286 6.4286
angles: 90.00 90.00 90.00
Closest atoms and distances in Å follow each position.
Fractional positions:
Mg1 0.0000 0.0000 0.0000  6 Se 2.71
Mg2 0.0000 0.5000 0.5000  6 Se 2.71
Mg3 0.5000 0.0000 0.5000  6 Se 2.71
Mg4 0.5000 0.5000 0.0000  6 Se 2.71
Se1 0.1071 0.6071 0.8929  1 Se 2.39
Se2 0.1071 0.8929 0.3929  1 Se 2.39
Se3 0.3929 0.1071 0.8929  1 Se 2.39
Se4 0.3929 0.3929 0.3929  1 Se 2.39
Se5 0.6071 0.6071 0.6071  1 Se 2.39
Se6 0.6071 0.8929 0.1071  1 Se 2.39
Se7 0.8929 0.1071 0.6071  1 Se 2.39
Se8 0.8929 0.3929 0.1071  1 Se 2.39

Output
Magnetization in μB/f.u.: 0.00
Uncorrected energy in eV/atom: -3.980
ΔE_f (raw) in eV/atom: -0.84

=====

Record 2
Computed, not measured: a relaxed MgSe2 crystal at the GGA-PBEsol level of DFT.

abc: 5.1239 5.1239 5.2989
angles: 90.00 90.00 120.00
Closest atoms and distances in Å follow each position.
Fractional positions:
Mg1 0.3333 0.6667 0.2500  5 Se 2.65-2.96
Mg2 0.6667 0.3333 0.7500  5 Se 2.65-2.96
Se1 0.0000 0.0000 0.0000  2 Se 2.65
Se2 0.0000 0.0000 0.5000  2 Se 2.65
Se3 0.3333 0.6667 0.7500  5 Mg 2.65-2.96
Se4 0.6667 0.3333 0.2500  5 Mg 2.65-2.96

Output
Magnetization in μB/f.u.: 0.00
Uncorrected energy in eV/atom: -3.489
ΔE_f (raw) in eV/atom: -0.35